# 1
Entry from Alexandria via LeMat-Bulk: SnP2OsS at its PBEsol-relaxed geometry (meta-GGA SCAN).

Results
Density of states at the Fermi level in states/eV/f.u.: 2.6
Total magnetic moment in μB/f.u.: 0.0
Uncorrected formation energy in eV per atom: 0.51

Unit cell a=4.439 b=4.439 c=5.210 alpha=90.00 beta=90.00 gamma=90.00
Fractional coordinates of all 5 atoms:
Sn 0.000 0.000 0.000
P 0.000 0.500 0.500
P 0.500 0.000 0.500
Os 0.500 0.500 0.500
S 0.500 0.500 0.000

***

# 2
Entry from Alexandria via LeMat-Bulk: NiOs2Pb at its PBEsol-relaxed geometry (meta-GGA SCAN).

Results
Calculated formation energy in eV per atom: 0.63
Density of states at the Fermi level in states/eV/f.u.: 3.0
Total magnetic moment in μB/f.u.: 0.0

Unit cell a=2.901 b=2.901 c=7.388 alpha=90.00 beta=90.00 gamma=90.00
Fractional coordinates of all 4 atoms:
Ni 0.000 0.000 0.000
Os 0.000 0.000 0.440
Os 0.500 0.500 0.226
Pb 0.500 0.500 0.742

***

# 3
Entry from Alexandria via LeMat-Bulk: Li2AlHg at its PBEsol-relaxed geometry (meta-GGA SCAN).

Results
Calculated formation energy in eV per atom: -0.29
Density of states at the Fermi level in states/eV/f.u.: 0.8
Total magnetic moment in μB/f.u.: 0.0

Unit cell a=4.488 b=4.488 c=4.488 alpha=60.00 beta=60.00 gamma=60.00
Fractional coordinates of all 4 atoms:
Li 0.250 0.250 0.250
Li 0.750 0.750 0.750
Al 0.000 0.000 0.000
Hg 0.500 0.500 0.500

***

# 4
Entry from Alexandria via LeMat-Bulk: LiBiP2O7 at its PBEsol-relaxed geometry (meta-GGA SCAN).

Results
E above lowest polymorph in kcal/mol of atoms: 0.00
Density of states at the Fermi level in states/eV/f.u.: 0.0
Total magnetic moment in μB/f.u.: 0.0
Uncorrected formation energy in eV per atom: -2.26

Unit cell a=6.282 b=6.784 c=6.796 alpha=94.67 beta=91.27 gamma=114.54
Fractional coordinates of all 22 atoms:
Li 0.242 0.406 0.198
Li 0.758 0.594 0.802
Bi 0.298 0.754 0.635
Bi 0.702 0.246 0.365
P 0.179 0.843 0.133
P 0.235 0.262 0.636
P 0.765 0.738 0.364
P 0.821 0.157 0.867
O 0.048 0.126 0.782
O 0.098 0.749 0.917
O 0.117 0.320 0.464
O 0.216 0.683 0.258
O 0.346 0.106 0.565
O 0.375 0.072 0.150
O 0.411 0.475 0.748
O 0.589 0.525 0.252
O 0.625 0.928 0.850
O 0.654 0.894 0.435
O 0.784 0.317 0.742
O 0.883 0.680 0.536
O 0.902 0.251 0.083
O 0.952 0.874 0.218

***

# 5
Entry from Alexandria via LeMat-Bulk: LaY2Zr at its PBEsol-relaxed geometry (meta-GGA SCAN).

Results
E above lowest polymorph in kcal/mol of atoms: 0.00
Calculated formation energy in eV per atom: 0.10
Density of states at the Fermi level in states/eV/f.u.: 5.5
Total magnetic moment in μB/f.u.: 0.0

Unit cell a=3.396 b=3.396 c=10.074 alpha=90.00 beta=90.00 gamma=90.00
Fractional coordinates of all 4 atoms:
La 0.000 0.000 0.000
Y 0.500 0.500 0.278
Y 0.500 0.500 0.722
Zr 0.000 0.000 0.500

***

# 6
Entry from Alexandria via LeMat-Bulk: BeHg2Br at its PBEsol-relaxed geometry (meta-GGA SCAN).

Results
E above lowest polymorph in kcal/mol of atoms: 0.00
Density of states at the Fermi level in states/eV/f.u.: 1.5
Total magnetic moment in μB/f.u.: 0.0
Uncorrected formation energy in eV per atom: 0.02

Unit cell a=5.885 b=5.885 c=5.885 alpha=149.27 beta=117.25 gamma=71.49
Fractional coordinates of all 4 atoms:
Be 0.000 0.000 0.000
Hg 0.503 0.503 0.000
Hg 0.796 0.296 0.500
Br 0.160 0.660 0.500

***

# 7
Entry from Alexandria via LeMat-Bulk: BaCrSi2 at its PBEsol-relaxed geometry (meta-GGA SCAN).

Results
E above lowest polymorph in kcal/mol of atoms: 0.00
Density of states at the Fermi level in states/eV/f.u.: 3.5
Total magnetic moment in μB/f.u.: 3.4
Uncorrected formation energy in eV per atom: -0.14

Unit cell a=6.429 b=6.429 c=6.429 alpha=37.16 beta=37.16 gamma=37.16
Fractional coordinates of all 4 atoms:
Ba 0.000 0.000 0.000
Cr 0.500 0.500 0.500
Si 0.202 0.202 0.202
Si 0.798 0.798 0.798

***

# 8
Entry from Alexandria via LeMat-Bulk: Ta2TeRh at its PBEsol-relaxed geometry (meta-GGA SCAN).

Results
Density of states at the Fermi level in states/eV/f.u.: 1.9
Total magnetic moment in μB/f.u.: 0.0
Uncorrected formation energy in eV per atom: -0.07

Unit cell a=3.480 b=4.441 c=4.452 alpha=90.00 beta=90.00 gamma=90.00
Fractional coordinates of all 4 atoms:
Ta 0.000 0.000 0.000
Ta 0.500 0.000 0.500
Te 0.000 0.500 0.500
Rh 0.500 0.500 0.000